1.
Entry from Alexandria via LeMat-Bulk: an optimized crystal structure of Er8Cd2Pb (PBE).

Energy above the lowest structure with this stoichiometry ... 13.92 kJ/mol of atoms

Cell: 8.7601 14.4105 5.5095 Å, 90.00 111.33 90.00°
Space group C2/m (No. 12)
Symmetry-distinct sites (fractional):
Er1 0.0000 0.2243 0.0000 (multiplicity 4)
Er2 0.0999 0.5000 0.8003 (multiplicity 4)
Er3 0.2093 0.1160 0.6169 (multiplicity 8)
Cd1 0.0000 0.3052 0.5000 (multiplicity 4)
Pb1 0.0000 0.0000 0.0000 (multiplicity 2)

2.
Entry from Alexandria via LeMat-Bulk: an optimized crystal structure of Er4CdPb5 (PBE).

Cell: 9.6631 9.6631 6.3497 Å, 90.00 90.00 90.00°
Space group I4 (No. 79)
Symmetry-distinct sites (fractional):
Er1 0.0909 0.6984 0.0000 (multiplicity 8)
Cd1 0.0000 0.0000 0.7345 (multiplicity 2)
Pb1 0.0000 0.0000 0.2197 (multiplicity 2)
Pb2 0.0977 0.7185 0.5036 (multiplicity 8)

3.
Entry from Alexandria via LeMat-Bulk: an optimized crystal structure of Er6Cd5Pb (PBE).

Cell: 5.2888 15.9187 7.3712 Å, 90.00 90.00 90.00°
Space group Cmmm (No. 65)
Symmetry-distinct sites (fractional):
Er1 0.0000 0.0000 0.2481 (multiplicity 4)
Er2 0.0000 0.3317 0.2458 (multiplicity 8)
Cd1 0.0000 0.1652 0.0000 (multiplicity 4)
Cd2 0.0000 0.1741 0.5000 (multiplicity 4)
Cd3 0.0000 0.5000 0.0000 (multiplicity 2)
Pb1 0.0000 0.5000 0.5000 (multiplicity 2)

4.
Entry from Alexandria via LeMat-Bulk: an optimized crystal structure of Er2CdPb (PBE).

Cell: 3.8350 3.8350 7.2393 Å, 90.00 90.00 90.00°
Space group P4/mmm (No. 123)
Symmetry-distinct sites (fractional):
Er1 0.0000 0.0000 0.2440 (multiplicity 2)
Cd1 0.5000 0.5000 0.0000 (multiplicity 1)
Pb1 0.5000 0.5000 0.5000 (multiplicity 1)

5.
Entry from Alexandria via LeMat-Bulk: an optimized crystal structure of ErCdPb2 (PBE).

Cell: 4.6861 4.6861 19.1366 Å, 90.00 90.00 120.00°
Space group R3m (No. 160, hexagonal axes)
Symmetry-distinct sites (fractional):
Er1 0.0000 0.0000 0.0000 (multiplicity 3)
Cd1 0.0000 0.0000 0.8234 (multiplicity 3)
Pb1 0.0000 0.0000 0.4106 (multiplicity 3)
Pb2 0.0000 0.0000 0.5769 (multiplicity 3)

6.
Entry from Alexandria via LeMat-Bulk: an optimized crystal structure of Er2CdPb3 (PBE).

Energy above the lowest structure with this stoichiometry ... 21.92 kJ/mol of atoms

Cell: 16.1954 8.8861 4.9982 Å, 90.00 90.00 90.00°
Space group Cmcm (No. 63)
Symmetry-distinct sites (fractional):
Er1 0.1096 0.2477 0.2500 (multiplicity 8)
Cd1 0.0000 0.4335 0.7500 (multiplicity 4)
Pb1 0.0000 0.1016 0.7500 (multiplicity 4)
Pb2 0.2098 0.3913 0.7500 (multiplicity 8)

7.
Entry from Alexandria via LeMat-Bulk: an optimized crystal structure of ErCd2Pb (PBE).

Energy above the lowest structure with this stoichiometry ... 5.14 kJ/mol of atoms

Cell: 10.8975 4.5169 4.5177 Å, 90.00 114.33 90.00°
Space group C2/m (No. 12)
Symmetry-distinct sites (fractional):
Er1 0.0000 0.0000 0.0000 (multiplicity 2)
Cd1 0.2500 0.0000 0.7498 (multiplicity 4)
Pb1 0.0000 0.5000 0.5000 (multiplicity 2)

8.
Entry from Alexandria via LeMat-Bulk: an optimized crystal structure of ErCdPb (PBE).

Cell: 3.5162 18.8756 4.8845 Å, 90.00 90.00 90.00°
Space group Cmcm (No. 63)
Symmetry-distinct sites (fractional):
Er1 0.0000 0.1148 0.2500 (multiplicity 4)
Cd1 0.0000 0.4626 0.2500 (multiplicity 4)
Pb1 0.0000 0.3019 0.2500 (multiplicity 4)

no.,calculated volume (A^3/atom),formation enthalpy at 0 K (eV per atom),N(E_F) (states/eV/atom)
1,29.4,-0.0604,1.385
2,29.6,-0.1701,0.791
3,25.9,-0.3367,0.925
4,26.6,-0.3495,0.754
5,30.3,-0.0585,0.573
6,30.0,-0.1213,0.544
7,25.3,-0.2407,0.436
8,27.0,-0.2079,0.862